First-principles (GGA-PBE) data for a geometry-optimized Si2RhCl structure, as listed in Alexandria.

The structure belongs to space group I4/mmm (No. 139); the cell edges are 4.0943, 4.0943 and 7.4638 Å and the angles 90.00°, 90.00° and 90.00°. The asymmetric unit holds Si at (0.0000, 0.5000, 0.2500), Rh at (0.0000, 0.0000, 0.0000) and Cl at (0.0000, 0.0000, 0.5000).

The density of states at the Fermi level is 4.47 states/eV/cell. Its energy above the most stable polymorph in this dataset is 52.07 kJ/mol of atoms. The value obtained for the formation energy from raw total energies is 0.4242 eV/atom. As for the total energy: -36.69 eV per cell.

First-principles (GGA-PBE) data for a geometry-optimized LaFeTeAu2 structure, as listed in Alexandria.

The structure belongs to space group P4/mmm (No. 123); the cell edges are 5.3041, 5.3041 and 4.7335 Å and the angles 90.00°, 90.00° and 90.00°. The asymmetric unit holds La at (0.0000, 0.0000, 0.0000), Fe at (0.5000, 0.5000, 0.0000), Te at (0.5000, 0.5000, 0.5000) and Au at (0.0000, 0.5000, 0.5000).

The density of states at the Fermi level is 4.48 states/eV/cell. The value obtained for the formation energy from raw total energies is 0.2377 eV/atom. As for the total energy: -21.90 eV per cell.

First-principles (GGA-PBE) data for a geometry-optimized TbGaBi2 structure, as listed in Alexandria.

The structure belongs to space group P4/mmm (No. 123); the cell edges are 4.1894, 4.1894 and 6.3553 Å and the angles 90.00°, 90.00° and 90.00°. The asymmetric unit holds Tb at (0.0000, 0.0000, 0.0000), Ga at (0.0000, 0.0000, 0.5000) and Bi at (0.5000, 0.5000, 0.2499).

The density of states at the Fermi level is 2.47 states/eV/cell. Its energy above the most stable polymorph in this dataset is 0.00 kJ/mol of atoms. As for the total energy: -16.94 eV per cell.

First-principles (GGA-PBE) data for a geometry-optimized Dy2Ga4NiAu3 structure, as listed in Alexandria.

The structure belongs to space group P-4m2 (No. 115); the cell edges are 4.1772, 4.1772 and 11.0205 Å and the angles 90.00°, 90.00° and 90.00°. The asymmetric unit holds Dy at (0.0000, 0.5000, 0.2382), Ga at (0.0000, 0.0000, 0.5000), Ga at (0.0000, 0.5000, 0.8744), Ga at (0.5000, 0.5000, 0.5000), Ni at (0.5000, 0.5000, 0.0000), Au at (0.0000, 0.0000, 0.0000) and Au at (0.0000, 0.5000, 0.6469).

The density of states at the Fermi level is 4.72 states/eV/cell. As for the total energy: -42.69 eV per cell.

First-principles (GGA-PBE) data for a geometry-optimized SrPdSe structure, as listed in Alexandria.

The structure belongs to space group P6_3/mmc (No. 194); the cell edges are 5.1570, 5.1570 and 9.5796 Å and the angles 90.00°, 90.00° and 120.00°. The asymmetric unit holds Sr at (0.3333, 0.6667, 0.2500), Pd at (0.0000, 0.0000, 0.0000) and Se at (0.0000, 0.0000, 0.2500).

The density of states at the Fermi level is 0.00 states/eV/cell. The value obtained for the formation energy from raw total energies is -0.8777 eV/atom. As for the total energy: -25.98 eV per cell.